The following is a GGA-PBE calculation of a relaxed Pm4TlPb3 crystal, from the Alexandria database.

Values from the calculation:
Magnetization (μB per cell): 0.00
Formation enthalpy at 0 K (kJ per mole of atoms): -49.6
Uncorrected energy (eV per cell): -36.61

Lattice parameters (Å, degrees): 4.484 4.674 11.895 90.00 90.00 90.00
Space group Pmm2 (No. 25)
Symmetry-distinct sites (fractional):
Pm 0.000 0.000 0.000
Pm 0.000 0.500 0.498
Pm 0.500 0.000 0.732
Pm 0.500 0.500 0.233
Tl 0.000 0.000 0.271
Pb 0.000 0.500 0.769
Pb 0.500 0.000 0.456
Pb 0.500 0.500 0.962